VASP calculation (PBE) on crystalline Sr6AsCl8 at its relaxed geometry. Values from VASP.

```
&SYSTEM
  ibrav = 0, nat = 15, ntyp = 3
/
ATOMIC_SPECIES
Sr 87.62 Sr.upf
As 74.92 As.upf
Cl 35.45 Cl.upf
CELL_PARAMETERS angstrom
7.864 0.000 2.583
3.508 7.039 2.583
1.379 0.853 9.064
ATOMIC_POSITIONS crystal
Sr 0.883 0.645 0.247
Sr 0.776 0.117 0.753
Sr 0.355 0.776 0.753
Sr 0.645 0.224 0.247
Sr 0.224 0.883 0.247
Sr 0.117 0.355 0.753
As 0.000 0.000 0.000
Cl 0.763 0.517 0.641
Cl 0.921 0.237 0.359
Cl 0.483 0.921 0.359
Cl 0.354 0.354 0.938
Cl 0.646 0.646 0.062
Cl 0.517 0.079 0.641
Cl 0.079 0.763 0.641
Cl 0.237 0.483 0.359
```

Output
**Raw formation energy**: -2.130 eV/atom
**Density of states at the Fermi level**: 3.22 states/eV per cell
**Uncorrected energy**: -4.10 eV/atom



VASP calculation (PBE) on crystalline Pm7Sm3Er2 at its relaxed geometry. Values from VASP.

```
&SYSTEM
  ibrav = 0, nat = 12, ntyp = 3
/
ATOMIC_SPECIES
Pm 145.00 Pm.upf
Sm 150.36 Sm.upf
Er 167.26 Er.upf
CELL_PARAMETERS angstrom
6.453 0.000 1.419
3.071 5.676 1.419
0.774 0.461 11.862
ATOMIC_POSITIONS crystal
Pm 0.500 0.500 0.500
Pm 0.079 0.587 0.748
Pm 0.587 0.587 0.748
Pm 0.587 0.079 0.748
Pm 0.921 0.413 0.252
Pm 0.413 0.921 0.252
Pm 0.413 0.413 0.252
Sm 0.000 0.000 0.000
Sm 0.152 0.152 0.543
Sm 0.848 0.848 0.457
Er 0.334 0.334 0.998
Er 0.666 0.666 0.002
```

Output
**E_form**: 0.286 eV/atom
**Excess energy over the best structure of this formula in the dataset**: 0.197 eV per atom
**Density of states at the Fermi level**: 20.14 states/eV per cell
**Uncorrected energy**: -4.43 eV/atom